Entry 1:
This record from Alexandria via LeMat-Bulk describes crystalline LiTiCl5 at its relaxed geometry. The functional is PBE.

Properties
spin magnetization: 0.1 μB/f.u.
ΔE to the lowest computed polymorph: 0.0000 eV per atom
theoretical density: 1.39 g/cm3
formation energy (no corrections): -1562 meV/atom
crystal system: triclinic

Cell lengths 8.3922, 8.4032, 8.5724 Å; angles 105.17, 105.19, 94.73 degrees
With the nearest neighbours (Å) after each atom.
Fractional positions:
Li1 0.0000 0.0000 0.0000  2 Cl 2.21
Li2 0.0000 0.0000 0.5000  2 Cl 2.21
Ti1 0.3734 0.6266 0.2501  4 Cl 2.18-2.19
Ti2 0.6266 0.3734 0.7499  4 Cl 2.18-2.19
Cl1 0.0437 0.9575 0.7503  2 Li 2.21
Cl2 0.2683 0.7246 0.4569  1 Ti 2.19
Cl3 0.2755 0.7316 0.0431  1 Ti 2.19
Cl4 0.3071 0.3546 0.1585  1 Ti 2.18
Cl5 0.3542 0.3074 0.6582  1 Ti 2.18
Cl6 0.6458 0.6926 0.3418  1 Ti 2.18
Cl7 0.6929 0.6454 0.8415  1 Ti 2.18
Cl8 0.7245 0.2684 0.9569  1 Ti 2.19
Cl9 0.7317 0.2754 0.5431  1 Ti 2.19
Cl10 0.9563 0.0425 0.2497  2 Li 2.21

=====

Entry 2:
This record from Alexandria via LeMat-Bulk describes crystalline Cr2PPd at its relaxed geometry. The functional is PBE.

Properties
energy of formation: 174 meV per atom
spin magnetization: 1.8 μB/f.u.
theoretical density: 7.29 g/cm3
crystal system: tetragonal

Cell lengths 5.3412, 5.3412, 5.3412 Å; angles 101.96, 101.96, 125.84 degrees
With the nearest neighbours (Å) after each atom.
Fractional positions:
Cr1 0.0794 0.6250 0.9544  2 P 2.26, 2 Cr 2.51
Cr2 0.3750 0.3294 0.4544  2 P 2.26, 2 Cr 2.51
Cr3 0.6706 0.1250 0.0456  2 P 2.26, 2 Cr 2.51
Cr4 0.8750 0.9206 0.5456  2 P 2.26, 2 Cr 2.51
P1 0.0000 0.0000 0.0000  4 Cr 2.26, 2 Pd 2.43
P2 0.7500 0.2500 0.5000  4 Cr 2.26, 2 Pd 2.43
Pd1 0.2500 0.7500 0.5000  2 P 2.43, 4 Cr 2.67
Pd2 0.5000 0.5000 0.0000  2 P 2.43, 4 Cr 2.67

=====

Entry 3:
This record from Alexandria via LeMat-Bulk describes crystalline TmGa2Ru at its relaxed geometry. The functional is PBE.

Properties
energy of formation: -427 meV per atom
spin magnetization: 0.1 μB/f.u.
theoretical density: 9.73 g/cm3
crystal system: tetragonal

Cell lengths 3.1917, 3.1917, 6.8625 Å; angles 90.00, 90.00, 90.00 degrees
With the nearest neighbours (Å) after each atom.
Fractional positions:
Tm1 0.0000 0.0000 0.0000  8 Ga 3.06, 4 Tm 3.19
Ga1 0.5000 0.5000 0.3003  4 Ru 2.64, 1 Ga 2.74
Ga2 0.5000 0.5000 0.6997  4 Ru 2.64, 1 Ga 2.74
Ru1 0.0000 0.0000 0.5000  8 Ga 2.64

=====

Entry 4:
This record from Alexandria via LeMat-Bulk describes crystalline BaSr2O at its relaxed geometry. The functional is PBE.

Properties
spin magnetization: 0.0 μB/f.u.
theoretical density: 3.13 g/cm3
formation energy (no corrections): -1262 meV/atom
crystal system: cubic

Cell lengths 7.8989, 7.8989, 7.8989 Å; angles 60.00, 60.00, 60.00 degrees
With the nearest neighbours (Å) after each atom.
Fractional positions:
Ba1 0.1250 0.1250 0.1250  12 Sr 4.63, 4 Ba 4.84, 4 O 4.84
Ba2 0.8750 0.8750 0.8750  12 Sr 4.63, 4 Ba 4.84, 4 O 4.84
Sr1 0.0000 0.5000 0.5000  2 O 2.42
Sr2 0.5000 0.0000 0.5000  2 O 2.42
Sr3 0.5000 0.5000 0.0000  2 O 2.42
Sr4 0.5000 0.5000 0.5000  2 O 2.42
O1 0.3750 0.3750 0.3750  4 Sr 2.42
O2 0.6250 0.6250 0.6250  4 Sr 2.42